Model P:
Li5Mn3Sb2O10: relaxed, PBE+U.

Summary:
crystal system = triclinic
symmetry = P1 (1)

Structure (CIF):
```
data_Li5Mn3Sb2O10
_chemical_formula_sum 'Li10 Mn6 Sb4 O20'
_space_group_name_H-M_alt 'P 1'
_space_group_IT_number 1
_space_group_name_Hall 'P 1'
_cell_length_a 5.3913
_cell_length_b 8.3053
_cell_length_c 10.7670
_cell_angle_alpha 108.70
_cell_angle_beta 79.20
_cell_angle_gamma 108.27
loop_
_atom_site_label
_atom_site_type_symbol
_atom_site_fract_x
_atom_site_fract_y
_atom_site_fract_z
Li1 Li 0.5168 0.5115 0.5263
Li2 Li 0.4933 0.4987 0.9905
Li3 Li 0.2587 0.4008 0.2642
Li4 Li 0.2411 0.4017 0.7477
Li5 Li 0.7719 0.6092 0.7388
Li6 Li 0.7583 0.6116 0.2437
Li7 Li 0.3730 0.7610 0.7318
Li8 Li 0.3638 0.7659 0.2319
Li9 Li 0.6296 0.2344 0.2719
Li10 Li 0.5971 0.2011 0.7455
Mn1 Mn 0.9939 0.9970 0.2532
Mn2 Mn 0.6747 0.8905 0.5035
Mn3 Mn 0.3074 0.1037 0.9988
Mn4 Mn 0.9944 0.9919 0.7408
Mn5 Mn 0.6903 0.8927 0.9945
Mn6 Mn 0.3159 0.1154 0.5063
Sb1 Sb 0.1091 0.7007 0.4807
Sb2 Sb 0.0915 0.6937 0.9903
Sb3 Sb 0.9158 0.3069 0.5123
Sb4 Sb 0.8981 0.3027 0.0097
O1 O 0.0364 0.8318 0.8780
O2 O 0.0263 0.8254 0.3591
O3 O 0.9458 0.1537 0.1167
O4 O 0.9650 0.1517 0.6133
O5 O 0.3656 0.9901 0.6340
O6 O 0.3194 0.9149 0.1070
O7 O 0.6795 0.0872 0.3928
O8 O 0.6788 0.0806 0.8920
O9 O 0.1550 0.5145 0.6224
O10 O 0.1253 0.5450 0.1068
O11 O 0.8768 0.4409 0.3897
O12 O 0.8569 0.4530 0.8971
O13 O 0.2294 0.2391 0.3840
O14 O 0.2181 0.2566 0.8902
O15 O 0.7196 0.7596 0.6347
O16 O 0.7705 0.7519 0.1070
O17 O 0.4401 0.6547 0.3559
O18 O 0.4229 0.6566 0.8831
O19 O 0.5979 0.3595 0.6274
O20 O 0.5758 0.3418 0.1262
```


Model Q:
Li5Mn3Sb2O10: relaxed, PBE+U.

Summary:
crystal system = triclinic
symmetry = P-1 (2)

Structure (CIF):
```
data_Li5Mn3Sb2O10
_chemical_formula_sum 'Li5 Mn3 Sb2 O10'
_space_group_name_H-M_alt 'P 1'
_space_group_IT_number 1
_space_group_name_Hall 'P 1'
_cell_length_a 5.4142
_cell_length_b 5.4312
_cell_length_c 8.3181
_cell_angle_alpha 101.68
_cell_angle_beta 108.24
_cell_angle_gamma 100.86
loop_
_atom_site_label
_atom_site_type_symbol
_atom_site_fract_x
_atom_site_fract_y
_atom_site_fract_z
Li1 Li 0.5000 0.5000 0.5000
Li2 Li 0.1251 0.7536 0.6067
Li3 Li 0.8749 0.2464 0.3933
Li4 Li 0.7081 0.6329 0.2318
Li5 Li 0.2919 0.3671 0.7682
Mn1 Mn 0.5000 0.0000 0.0000
Mn2 Mn 0.1059 0.3120 0.1084
Mn3 Mn 0.8941 0.6880 0.8916
Sb1 Sb 0.2815 0.9041 0.3042
Sb2 Sb 0.7185 0.0959 0.6958
O1 O 0.9115 0.9542 0.1601
O2 O 0.0885 0.0458 0.8399
O3 O 0.2994 0.6784 0.0753
O4 O 0.7006 0.3216 0.9247
O5 O 0.6603 0.8592 0.4487
O6 O 0.3397 0.1408 0.5513
O7 O 0.5196 0.7705 0.7512
O8 O 0.4804 0.2295 0.2488
O9 O 0.0911 0.5742 0.3473
O10 O 0.9089 0.4258 0.6527
```


Model R:
Li5Mn3Sb2O10: relaxed, PBE+U.

Summary:
crystal system = triclinic
symmetry = P1 (1)

Structure (CIF):
```
data_Li5Mn3Sb2O10
_chemical_formula_sum 'Li10 Mn6 Sb4 O20'
_space_group_name_H-M_alt 'P 1'
_space_group_IT_number 1
_space_group_name_Hall 'P 1'
_cell_length_a 5.3851
_cell_length_b 8.3180
_cell_length_c 10.9107
_cell_angle_alpha 101.31
_cell_angle_beta 100.34
_cell_angle_gamma 108.96
loop_
_atom_site_label
_atom_site_type_symbol
_atom_site_fract_x
_atom_site_fract_y
_atom_site_fract_z
Li1 Li 0.5057 0.4853 0.2429
Li2 Li 0.5098 0.5110 0.7542
Li3 Li 0.8675 0.3886 0.1192
Li4 Li 0.8818 0.3982 0.6245
Li5 Li 0.1187 0.6049 0.3762
Li6 Li 0.0975 0.5930 0.8794
Li7 Li 0.2905 0.7652 0.1730
Li8 Li 0.2943 0.8020 0.7016
Li9 Li 0.7037 0.2314 0.3093
Li10 Li 0.7068 0.2414 0.8260
Mn1 Mn 0.4984 0.0000 0.5018
Mn2 Mn 0.8969 0.8913 0.8429
Mn3 Mn 0.1121 0.1117 0.1566
Mn4 Mn 0.4993 0.0081 0.0014
Mn5 Mn 0.8905 0.8874 0.3412
Mn6 Mn 0.1052 0.1102 0.6606
Sb1 Sb 0.7215 0.6973 0.0464
Sb2 Sb 0.7085 0.6924 0.5462
Sb3 Sb 0.2827 0.3034 0.4533
Sb4 Sb 0.2753 0.3023 0.9475
O1 O 0.0873 0.8518 0.0287
O2 O 0.0679 0.8241 0.5139
O3 O 0.9186 0.1634 0.4782
O4 O 0.8990 0.1668 0.9821
O5 O 0.7017 0.9172 0.1602
O6 O 0.6905 0.9138 0.6557
O7 O 0.2984 0.0796 0.3468
O8 O 0.2907 0.0266 0.8133
O9 O 0.3533 0.5597 0.0733
O10 O 0.3310 0.5434 0.5669
O11 O 0.6613 0.4521 0.4322
O12 O 0.7342 0.4886 0.9272
O13 O 0.5065 0.2418 0.1404
O14 O 0.4737 0.2493 0.6092
O15 O 0.5192 0.7501 0.3916
O16 O 0.5250 0.7521 0.8910
O17 O 0.9110 0.6542 0.2082
O18 O 0.8884 0.6482 0.7046
O19 O 0.1019 0.3478 0.2947
O20 O 0.0737 0.3442 0.7778
```


The calculated energies rank the structures as follows, beginning with the most stable: model R, model Q, model P.


Model P:
Li2MnSi2O6: relaxed, PBE+U.

Summary:
crystal system = monoclinic
symmetry = C2 (5)

Structure (CIF):
```
data_Li2MnSi2O6
_chemical_formula_sum 'Li4 Mn2 Si4 O12'
_space_group_name_H-M_alt 'P 1'
_space_group_IT_number 1
_space_group_name_Hall 'P 1'
_cell_length_a 7.6058
_cell_length_b 7.6058
_cell_length_c 5.1687
_cell_angle_alpha 70.95
_cell_angle_beta 70.95
_cell_angle_gamma 90.43
loop_
_atom_site_label
_atom_site_type_symbol
_atom_site_fract_x
_atom_site_fract_y
_atom_site_fract_z
Li1 Li 0.4204 0.7907 0.0432
Li2 Li 0.2107 0.7893 0.5000
Li3 Li 0.2093 0.5796 0.9568
Li4 Li 0.7736 0.2264 0.0000
Mn1 Mn 0.0347 0.9653 0.0000
Mn2 Mn 0.8060 0.1940 0.5000
Si1 Si 0.6381 0.7822 0.4809
Si2 Si 0.8075 0.6228 0.9771
Si3 Si 0.2178 0.3619 0.5191
Si4 Si 0.3772 0.1925 0.0229
O1 O 0.7805 0.9843 0.3235
O2 O 0.4222 0.7868 0.6607
O3 O 0.0108 0.7498 0.8591
O4 O 0.7317 0.6394 0.7054
O5 O 0.2132 0.5778 0.3393
O6 O 0.6496 0.7095 0.2019
O7 O 0.3606 0.2683 0.2946
O8 O 0.8280 0.4084 0.1362
O9 O 0.2905 0.3504 0.7981
O10 O 0.0157 0.2195 0.6765
O11 O 0.5916 0.1720 0.8638
O12 O 0.2502 0.9892 0.1409
```


Model Q:
Li2MnSi2O6: relaxed, PBE+U.

Summary:
crystal system = orthorhombic
symmetry = Fdd2 (43)

Structure (CIF):
```
data_Li2MnSi2O6
_chemical_formula_sum 'Li8 Mn4 Si8 O24'
_space_group_name_H-M_alt 'P 1'
_space_group_IT_number 1
_space_group_name_Hall 'P 1'
_cell_length_a 7.2839
_cell_length_b 10.5090
_cell_length_c 7.3868
_cell_angle_alpha 110.58
_cell_angle_beta 89.99
_cell_angle_gamma 90.00
loop_
_atom_site_label
_atom_site_type_symbol
_atom_site_fract_x
_atom_site_fract_y
_atom_site_fract_z
Li1 Li 0.7199 0.8354 0.1892
Li2 Li 0.2199 0.8354 0.6892
Li3 Li 0.4698 0.6637 0.3534
Li4 Li 0.9698 0.6637 0.8534
Li5 Li 0.4698 0.3354 0.6470
Li6 Li 0.9698 0.3354 0.1470
Li7 Li 0.7199 0.1636 0.8111
Li8 Li 0.2199 0.1636 0.3111
Mn1 Mn 0.2159 0.4995 0.5001
Mn2 Mn 0.4660 0.9995 0.5001
Mn3 Mn 0.7159 0.4995 0.0001
Mn4 Mn 0.9660 0.9995 0.0001
Si1 Si 0.2875 0.8323 0.0990
Si2 Si 0.7875 0.8323 0.5990
Si3 Si 0.5375 0.6667 0.7662
Si4 Si 0.0375 0.6667 0.2662
Si5 Si 0.5375 0.3324 0.2341
Si6 Si 0.0375 0.3324 0.7341
Si7 Si 0.2875 0.1667 0.9012
Si8 Si 0.7875 0.1667 0.4012
O1 O 0.3170 0.9823 0.2581
O2 O 0.8170 0.9823 0.7581
O3 O 0.5670 0.5167 0.7753
O4 O 0.0670 0.5167 0.2753
O5 O 0.5670 0.4823 0.2250
O6 O 0.0670 0.4823 0.7250
O7 O 0.3170 0.0168 0.7422
O8 O 0.8170 0.0168 0.2422
O9 O 0.1309 0.8257 0.9381
O10 O 0.6309 0.8257 0.4381
O11 O 0.8809 0.6733 0.1119
O12 O 0.3809 0.6733 0.6119
O13 O 0.8809 0.3257 0.8884
O14 O 0.3809 0.3257 0.3884
O15 O 0.1309 0.1734 0.0622
O16 O 0.6309 0.1734 0.5622
O17 O 0.2387 0.7242 0.2154
O18 O 0.7387 0.7242 0.7154
O19 O 0.4888 0.7748 0.9907
O20 O 0.9888 0.7748 0.4907
O21 O 0.4887 0.2242 0.0096
O22 O 0.9887 0.2242 0.5096
O23 O 0.2387 0.2749 0.7849
O24 O 0.7387 0.2749 0.2849
```


Model R:
Li2MnSi2O6: relaxed, PBE+U.

Summary:
crystal system = monoclinic
symmetry = C2/c (15)

Structure (CIF):
```
data_Li2MnSi2O6
_chemical_formula_sum 'Li4 Mn2 Si4 O12'
_space_group_name_H-M_alt 'P 1'
_space_group_IT_number 1
_space_group_name_Hall 'P 1'
_cell_length_a 5.7694
_cell_length_b 5.7693
_cell_length_c 9.3779
_cell_angle_alpha 90.41
_cell_angle_beta 89.60
_cell_angle_gamma 61.60
loop_
_atom_site_label
_atom_site_type_symbol
_atom_site_fract_x
_atom_site_fract_y
_atom_site_fract_z
Li1 Li 0.5865 0.7092 0.8825
Li2 Li 0.2907 0.4133 0.3825
Li3 Li 0.7092 0.5865 0.6175
Li4 Li 0.4134 0.2907 0.1175
Mn1 Mn 0.2519 0.2519 0.7500
Mn2 Mn 0.7481 0.7481 0.2500
Si1 Si 0.1339 0.8022 0.6336
Si2 Si 0.1978 0.8662 0.1336
Si3 Si 0.8022 0.1339 0.8664
Si4 Si 0.8662 0.1978 0.3664
O1 O 0.3656 0.8528 0.7033
O2 O 0.1472 0.6344 0.2033
O3 O 0.2356 0.4977 0.5860
O4 O 0.5023 0.7645 0.0860
O5 O 0.8846 0.8846 0.7500
O6 O 0.0000 0.0000 0.5000
O7 O 0.1154 0.1154 0.2500
O8 O 0.0000 0.0001 0.0000
O9 O 0.4977 0.2356 0.9140
O10 O 0.7644 0.5023 0.4140
O11 O 0.8528 0.3656 0.7967
O12 O 0.6344 0.1472 0.2967
```


The calculated energies rank the structures as follows, beginning with the most stable: model Q, model R, model P.